# Pm2Sm3ThN6 | Alexandria | PBE | relaxed
data_Pm2Sm3ThN6
_chemical_formula_sum 'Pm4 Sm6 Th2 N12'
_cell_length_a 15.6982
_cell_length_b 3.6155
_cell_length_c 7.2244
_cell_angle_alpha 90.00
_cell_angle_beta 103.26
_cell_angle_gamma 90.00
_space_group_name_H-M_alt 'C 1 2/m 1'
_space_group_IT_number 12
loop_
_space_group_symop_operation_xyz
'x,y,z'
'-x,-y,-z'
'-x,y,-z'
'x,-y,z'
'x+1/2,y+1/2,z'
'-x+1/2,-y+1/2,-z'
'-x+1/2,y+1/2,-z'
'x+1/2,-y+1/2,z'
loop_
_atom_site_label
_atom_site_type_symbol
_atom_site_fract_x
_atom_site_fract_y
_atom_site_fract_z
_atom_site_occupancy
Pm1 Pm 0.1680 0.0000 0.3372 1
Sm1 Sm 0.0000 0.5000 0.5000 1
Sm2 Sm 0.1686 0.0000 0.8313 1
Th1 Th 0.0000 0.5000 0.0000 1
N1 N 0.0008 0.0000 0.7570 1
N2 N 0.1636 0.5000 0.0799 1
N3 N 0.1664 0.5000 0.5846 1
# - ΔE_f (raw): -1519 meV per atom
# - Uncorrected energy: -0.304 Ha/atom